# 1
Compound: ZrGa3Cu3
Source: Alexandria
Functional: PBE-GGA
Structure: relaxed

a b c (Å): 6.480 6.480 6.480
angles (deg): 90.00 90.00 90.00
Element x y z (fractional)
1 Cu 0.250 0.000 0.500
2 Cu 0.000 0.500 0.250
3 Cu 0.500 0.750 0.000
4 Cu 0.750 0.000 0.500
5 Cu 0.000 0.500 0.750
6 Cu 0.500 0.250 0.000
7 Ga 0.000 0.250 0.500
8 Ga 0.000 0.750 0.500
9 Ga 0.500 0.000 0.750
10 Ga 0.750 0.500 0.000
11 Ga 0.500 0.000 0.250
12 Ga 0.250 0.500 0.000
13 Zr 0.500 0.500 0.500
14 Zr 0.000 0.000 0.000

Summary:
- Space-group type: No. 223
- Formation energy: 0.46 eV per atom
- Electronic total energy: -3.815 eV per atom
- Calculated volume: 19.44 Å³ per atom
- Magnetization: 0.00 μB/atom

# 2
Compound: AcPrNdZn
Source: Alexandria
Functional: PBE-GGA
Structure: relaxed

a b c (Å): 5.658 5.658 5.658
angles (deg): 60.00 60.00 60.00
Element x y z (fractional)
1 Pr 0.250 0.250 0.250
2 Ac 0.000 0.000 0.000
3 Nd 0.750 0.750 0.750
4 Zn 0.500 0.500 0.500

Summary:
- Space-group type: No. 216
- Formation energy: 0.13 eV per atom
- Electronic total energy: -3.606 eV per atom
- Calculated volume: 32.02 Å³ per atom
- Magnetization: 0.00 μB/atom

# 3
Compound: H3PtPb
Source: Alexandria
Functional: PBE-GGA
Structure: relaxed

a b c (Å): 3.821 3.821 3.821
angles (deg): 90.00 90.00 90.00
Element x y z (fractional)
1 Pb 0.500 0.500 0.500
2 H 0.000 0.500 0.000
3 H 0.000 0.000 0.500
4 H 0.500 0.000 0.000
5 Pt 0.000 0.000 0.000

Summary:
- Space-group type: No. 221
- Electronic total energy: -3.885 eV per atom
- Calculated volume: 11.15 Å³ per atom
- Magnetization: 0.00 μB/atom

# 4
Compound: Ce4Er3TmTe8
Source: Alexandria
Functional: PBE-GGA
Structure: relaxed

a b c (Å): 8.697 8.916 8.698
angles (deg): 119.21 120.00 90.00
Each line ends with the local moment (μB).
Element x y z (fractional)
1 Ce 0.500 0.000 0.000  1.03
2 Ce 0.500 0.000 0.500  1.02
3 Ce 0.000 0.000 0.000  1.02
4 Ce 0.000 0.000 0.500  1.02
5 Er 0.500 0.500 0.000  -0.01
6 Er 0.500 0.500 0.500  -0.01
7 Er 0.000 0.500 0.500  -0.01
8 Tm 0.000 0.500 0.000  -0.01
9 Te 0.245 0.735 0.990  -0.01
10 Te 0.245 0.735 0.489  -0.01
11 Te 0.255 0.265 0.510  -0.01
12 Te 0.746 0.735 0.990  -0.01
13 Te 0.254 0.265 0.010  -0.01
14 Te 0.745 0.735 0.490  -0.01
15 Te 0.755 0.265 0.511  -0.01
16 Te 0.755 0.265 0.010  -0.01

Summary:
- Space-group type: No. 166
- ΔE_f (raw): -1301 meV/atom
- Electronic total energy: -5.490 eV per atom
- Calculated volume: 30.16 Å³ per atom
- Magnetization: 0.32 μB/atom

# 5
Compound: BaCoCu3Se4
Source: Alexandria
Functional: PBE-GGA
Structure: relaxed

a b c (Å): 6.139 6.139 6.139
angles (deg): 90.00 90.00 90.00
Each line ends with the local moment (μB).
Element x y z (fractional)
1 Ba 0.000 0.000 0.000  0.07
2 Co 0.500 0.500 0.500  2.06
3 Cu 0.500 0.000 0.500  0.10
4 Cu 0.500 0.500 0.000  0.10
5 Cu 0.000 0.500 0.500  0.10
6 Se 0.717 0.717 0.717  0.13
7 Se 0.283 0.283 0.717  0.13
8 Se 0.717 0.283 0.283  0.13
9 Se 0.283 0.717 0.283  0.13

Summary:
- Space-group type: No. 215
- ΔE_f (raw): -397 meV/atom
- Electronic total energy: -4.315 eV per atom
- Calculated volume: 25.71 Å³ per atom
- Magnetization: 0.38 μB/atom

# 6
Compound: ZrZn2Pt
Source: Alexandria
Functional: PBE-GGA
Structure: relaxed

a b c (Å): 9.167 9.167 9.167
angles (deg): 18.66 18.66 18.66
Element x y z (fractional)
1 Pt 0.745 0.745 0.745
2 Zn 0.001 0.001 0.001
3 Zn 0.255 0.255 0.255
4 Zr 0.499 0.499 0.499

Summary:
- Space-group type: No. 160
- Formation energy: -0.22 eV per atom
- Electronic total energy: -4.502 eV per atom
- Calculated volume: 17.23 Å³ per atom
- Magnetization: 0.00 μB/atom